# 1
Below is crystalline Li2SmEr2Tl2 at its relaxed geometry, with properties calculated at the PBE level.

It has space group R-3m (No. 166, hexagonal axes), with a = 4.8450 Å, b = 4.8450 Å, c = 26.6757 Å, α = 90.00°, β = 90.00° and γ = 120.00°. Symmetry generates all atoms from Li at (0.0000, 0.0000, 0.0970), Sm at (0.0000, 0.0000, 0.5000), Er at (0.0000, 0.0000, 0.3718) and Tl at (0.0000, 0.0000, 0.2405).

The energy relative to the elements comes out at -4.054 kcal/mol of atoms. The value obtained for the density of states at the Fermi level is 0.750 states/eV per atom.

***

# 2
Below is crystalline LiSmErTm at its relaxed geometry, with properties calculated at the PBE level.

It has space group F-43m (No. 216), with a = 7.7271 Å, b = 7.7271 Å, c = 7.7271 Å, α = 90.00°, β = 90.00° and γ = 90.00°. Symmetry generates all atoms from Li at (0.0000, 0.0000, 0.0000), Sm at (0.2500, 0.2500, 0.2500), Er at (0.2500, 0.2500, 0.7500) and Tm at (0.0000, 0.0000, 0.5000).

The energy relative to the elements comes out at 3.791 kcal/mol of atoms. The value obtained for the density of states at the Fermi level is 0.805 states/eV per atom.

***

# 3
Below is crystalline LiSmYEr at its relaxed geometry, with properties calculated at the PBE level.

It has space group F-43m (No. 216), with a = 7.7833 Å, b = 7.7833 Å, c = 7.7833 Å, α = 90.00°, β = 90.00° and γ = 90.00°. Symmetry generates all atoms from Li at (0.0000, 0.0000, 0.0000), Sm at (0.2500, 0.2500, 0.2500), Y at (0.2500, 0.2500, 0.7500) and Er at (0.0000, 0.0000, 0.5000).

The energy relative to the elements comes out at 3.801 kcal/mol of atoms. The value obtained for the density of states at the Fermi level is 0.864 states/eV per atom.

***

# 4
Below is crystalline LiSmErZn at its relaxed geometry, with properties calculated at the PBE level.

It has space group P4mm (No. 99), with a = 3.6393 Å, b = 3.6393 Å, c = 7.3798 Å, α = 90.00°, β = 90.00° and γ = 90.00°. Symmetry generates all atoms from Li at (0.0000, 0.0000, 0.0000), Sm at (0.5000, 0.5000, 0.7233), Er at (0.5000, 0.5000, 0.2580) and Zn at (0.0000, 0.0000, 0.4790).

The energy relative to the elements comes out at -2.708 kcal/mol of atoms. The value obtained for the distance to the lowest polymorph of the same formula is 0.000 eV per atom. The value obtained for the density of states at the Fermi level is 1.115 states/eV per atom.

***

# 5
Below is crystalline LiSmErZn at its relaxed geometry, with properties calculated at the PBE level.

It has space group F-43m (No. 216), with a = 7.2578 Å, b = 7.2578 Å, c = 7.2578 Å, α = 90.00°, β = 90.00° and γ = 90.00°. Symmetry generates all atoms from Li at (0.0000, 0.0000, 0.0000), Sm at (0.2500, 0.2500, 0.7500), Er at (0.2500, 0.2500, 0.2500) and Zn at (0.0000, 0.0000, 0.5000).

The energy relative to the elements comes out at -2.597 kcal/mol of atoms. The value obtained for the distance to the lowest polymorph of the same formula is 0.005 eV per atom. The value obtained for the density of states at the Fermi level is 1.313 states/eV per atom.

***

# 6
Below is crystalline Li6ErSn6 at its relaxed geometry, with properties calculated at the PBE level.

It has space group Immm (No. 71), with a = 5.7026 Å, b = 9.4159 Å, c = 9.9664 Å, α = 90.00°, β = 90.00° and γ = 90.00°. Symmetry generates all atoms from Li at (0.0000, 0.2486, 0.0000), Li at (0.2500, 0.2500, 0.2500), Er at (0.0000, 0.0000, 0.5000), Sn at (0.0000, 0.0000, 0.1682), Sn at (0.0000, 0.3453, 0.5000) and Sn at (0.0000, 0.5000, 0.1613).

The energy relative to the elements comes out at -8.368 kcal/mol of atoms. The value obtained for the distance to the lowest polymorph of the same formula is 0.000 eV per atom. The value obtained for the density of states at the Fermi level is 0.399 states/eV per atom.

***

# 7
Below is crystalline LiErSn3 at its relaxed geometry, with properties calculated at the PBE level.

It has space group C2/m (No. 12), with a = 16.7656 Å, b = 4.6257 Å, c = 6.2065 Å, α = 90.00°, β = 91.37° and γ = 90.00°. Symmetry generates all atoms from Li at (0.1991, 0.0000, 0.2752), Er at (0.1047, 0.5000, 0.9859), Sn at (0.0113, 0.0000, 0.2550), Sn at (0.1275, 0.5000, 0.4900) and Sn at (0.2086, 0.0000, 0.7921).

The energy relative to the elements comes out at -8.732 kcal/mol of atoms. The value obtained for the distance to the lowest polymorph of the same formula is 0.012 eV per atom. The value obtained for the density of states at the Fermi level is 0.485 states/eV per atom.

***

# 8
Below is crystalline LiErSn3 at its relaxed geometry, with properties calculated at the PBE level.

It has space group P2/c (No. 13), with a = 6.1583 Å, b = 12.9330 Å, c = 6.1307 Å, α = 90.00°, β = 90.09° and γ = 90.00°. Symmetry generates all atoms from Li at (0.0000, 0.1086, 0.2500), Li at (0.5000, 0.1087, 0.2500), Er at (0.2499, 0.3110, 0.0047), Sn at (0.0000, 0.4973, 0.7500), Sn at (0.2502, 0.0828, 0.8198), Sn at (0.2501, 0.2667, 0.4998) and Sn at (0.5000, 0.4969, 0.7500).

The energy relative to the elements comes out at -9.018 kcal/mol of atoms. The value obtained for the distance to the lowest polymorph of the same formula is 0.000 eV per atom. The value obtained for the density of states at the Fermi level is 0.552 states/eV per atom.

***

# 9
Below is crystalline Li2Er3Sn4 at its relaxed geometry, with properties calculated at the PBE level.

It has space group C2/m (No. 12), with a = 11.4244 Å, b = 4.5345 Å, c = 8.7677 Å, α = 90.00°, β = 109.96° and γ = 90.00°. Symmetry generates all atoms from Li at (0.1861, 0.0000, 0.3657), Er at (0.0000, 0.5000, 0.0000), Er at (0.1322, 0.0000, 0.6876), Sn at (0.0754, 0.5000, 0.3880) and Sn at (0.2028, 0.0000, 0.0730).

The energy relative to the elements comes out at -13.138 kcal/mol of atoms. The value obtained for the density of states at the Fermi level is 0.327 states/eV per atom.

***

# 10
Below is crystalline Li4Er3Sn4 at its relaxed geometry, with properties calculated at the PBE level.

It has space group Immm (No. 71), with a = 4.5614 Å, b = 7.0857 Å, c = 14.9377 Å, α = 90.00°, β = 90.00° and γ = 90.00°. Symmetry generates all atoms from Li at (0.0000, 0.1899, 0.1739), Er at (0.0000, 0.0000, 0.3735), Er at (0.0000, 0.5000, 0.5000), Sn at (0.0000, 0.2964, 0.0000) and Sn at (0.0000, 0.5000, 0.2849).

The energy relative to the elements comes out at -13.477 kcal/mol of atoms. The value obtained for the density of states at the Fermi level is 0.253 states/eV per atom.

***

# 11
Below is crystalline Li2ErSn at its relaxed geometry, with properties calculated at the PBE level.

It has space group P4/mmm (No. 123), with a = 4.3531 Å, b = 4.3531 Å, c = 4.8183 Å, α = 90.00°, β = 90.00° and γ = 90.00°. Symmetry generates all atoms from Li at (0.0000, 0.5000, 0.0000), Er at (0.0000, 0.0000, 0.5000) and Sn at (0.5000, 0.5000, 0.5000).

The energy relative to the elements comes out at -7.719 kcal/mol of atoms. The value obtained for the density of states at the Fermi level is 0.475 states/eV per atom.

***

# 12
Below is crystalline Li3ErSn3 at its relaxed geometry, with properties calculated at the PBE level.

It has space group R-3 (No. 148, hexagonal axes), with a = 8.2784 Å, b = 8.2784 Å, c = 17.4986 Å, α = 90.00°, β = 90.00° and γ = 120.00°. Symmetry generates all atoms from Li at (0.0011, 0.6536, 0.3834), Er at (0.0000, 0.0000, 0.1653) and Sn at (0.0008, 0.2966, 0.4430).

The energy relative to the elements comes out at -5.369 kcal/mol of atoms. The value obtained for the distance to the lowest polymorph of the same formula is 0.000 eV per atom. The value obtained for the density of states at the Fermi level is 0.516 states/eV per atom.

***

# 13
Below is crystalline Li4ErSn5 at its relaxed geometry, with properties calculated at the PBE level.

It has space group P4/mmm (No. 123), with a = 3.4867 Å, b = 3.4867 Å, c = 17.7676 Å, α = 90.00°, β = 90.00° and γ = 90.00°. Symmetry generates all atoms from Li at (0.0000, 0.0000, 0.0957), Li at (0.0000, 0.0000, 0.2843), Er at (0.0000, 0.0000, 0.5000), Sn at (0.5000, 0.5000, 0.0000), Sn at (0.5000, 0.5000, 0.1908) and Sn at (0.5000, 0.5000, 0.3803).

The energy relative to the elements comes out at -8.452 kcal/mol of atoms. The value obtained for the density of states at the Fermi level is 0.494 states/eV per atom.

***

# 14
Below is crystalline Li2Er5Sn5 at its relaxed geometry, with properties calculated at the PBE level.

It has space group R-3m (No. 166, hexagonal axes), with a = 4.8708 Å, b = 4.8708 Å, c = 44.2019 Å, α = 90.00°, β = 90.00° and γ = 120.00°. Symmetry generates all atoms from Li at (0.0000, 0.0000, 0.0676), Er at (0.0000, 0.0000, 0.2238), Er at (0.0000, 0.0000, 0.3045), Er at (0.0000, 0.0000, 0.5000), Sn at (0.0000, 0.0000, 0.0000), Sn at (0.0000, 0.0000, 0.1381) and Sn at (0.0000, 0.0000, 0.4030).

The energy relative to the elements comes out at -13.379 kcal/mol of atoms. The value obtained for the density of states at the Fermi level is 0.470 states/eV per atom.

***

# 15
Below is crystalline Li3ErSn6 at its relaxed geometry, with properties calculated at the PBE level.

It has space group P2_1/m (No. 11), with a = 10.1471 Å, b = 4.4807 Å, c = 10.2645 Å, α = 90.00°, β = 90.38° and γ = 90.00°. Symmetry generates all atoms from Li at (0.0600, 0.2500, 0.3975), Li at (0.1506, 0.7500, 0.2029), Li at (0.2490, 0.2500, 0.0012), Er at (0.4310, 0.2500, 0.6199), Sn at (0.0256, 0.7500, 0.9000), Sn at (0.1238, 0.2500, 0.6899), Sn at (0.2386, 0.7500, 0.4895), Sn at (0.3215, 0.7500, 0.8180), Sn at (0.3405, 0.2500, 0.2968) and Sn at (0.4420, 0.7500, 0.1002).

The energy relative to the elements comes out at -7.434 kcal/mol of atoms. The value obtained for the density of states at the Fermi level is 0.403 states/eV per atom.

***

# 16
Below is crystalline Li3ErSn2 at its relaxed geometry, with properties calculated at the PBE level.

It has space group C2/m (No. 12), with a = 13.9356 Å, b = 4.6268 Å, c = 8.8722 Å, α = 90.00°, β = 118.30° and γ = 90.00°. Symmetry generates all atoms from Li at (0.0503, 0.0000, 0.3816), Li at (0.0967, 0.5000, 0.6869), Li at (0.2226, 0.5000, 0.5432), Er at (0.1387, 0.0000, 0.0203), Sn at (0.0454, 0.5000, 0.1901) and Sn at (0.2120, 0.0000, 0.7307).

The energy relative to the elements comes out at -10.442 kcal/mol of atoms. The value obtained for the density of states at the Fermi level is 0.401 states/eV per atom.

***

# 17
Below is crystalline Li2ErSn at its relaxed geometry, with properties calculated at the PBE level.

It has space group I-4m2 (No. 119), with a = 4.9912 Å, b = 4.9912 Å, c = 7.0404 Å, α = 90.00°, β = 90.00° and γ = 90.00°. Symmetry generates all atoms from Li at (0.0000, 0.0000, 0.0000), Li at (0.0000, 0.5000, 0.2500), Er at (0.0000, 0.5000, 0.7500) and Sn at (0.0000, 0.0000, 0.5000).

The energy relative to the elements comes out at -8.576 kcal/mol of atoms. The value obtained for the density of states at the Fermi level is 0.581 states/eV per atom.

***

# 18
Below is crystalline Li2ErSn3 at its relaxed geometry, with properties calculated at the PBE level.

It has space group Cmmm (No. 65), with a = 4.5159 Å, b = 13.5758 Å, c = 4.4148 Å, α = 90.00°, β = 90.00° and γ = 90.00°. Symmetry generates all atoms from Li at (0.0000, 0.1816, 0.0000), Er at (0.0000, 0.5000, 0.0000), Sn at (0.0000, 0.0000, 0.5000) and Sn at (0.0000, 0.3302, 0.5000).

The energy relative to the elements comes out at -10.528 kcal/mol of atoms. The value obtained for the density of states at the Fermi level is 0.352 states/eV per atom.

***

# 19
Below is crystalline LiErSn at its relaxed geometry, with properties calculated at the PBE level.

It has space group Cmmm (No. 65), with a = 7.6864 Å, b = 9.3294 Å, c = 5.0155 Å, α = 90.00°, β = 90.00° and γ = 90.00°. Symmetry generates all atoms from Li at (0.1641, 0.0000, 0.0000), Er at (0.0000, 0.3201, 0.5000), Sn at (0.0000, 0.0000, 0.5000) and Sn at (0.0000, 0.5000, 0.0000).

The energy relative to the elements comes out at -2.550 kcal/mol of atoms. The value obtained for the density of states at the Fermi level is 0.259 states/eV per atom.

***

# 20
Below is crystalline LiErSn6 at its relaxed geometry, with properties calculated at the PBE level.

It has space group Cmmm (No. 65), with a = 9.2985 Å, b = 9.3390 Å, c = 4.6540 Å, α = 90.00°, β = 90.00° and γ = 90.00°. Symmetry generates all atoms from Li at (0.0000, 0.0000, 0.0000), Er at (0.0000, 0.5000, 0.0000), Sn at (0.0000, 0.2419, 0.5000), Sn at (0.2412, 0.0000, 0.5000) and Sn at (0.2500, 0.2500, 0.0000).

The energy relative to the elements comes out at -6.295 kcal/mol of atoms. The value obtained for the density of states at the Fermi level is 0.307 states/eV per atom.

***

# 21
Below is crystalline Li2ErSn4 at its relaxed geometry, with properties calculated at the PBE level.

It has space group I4/mmm (No. 139), with a = 7.0408 Å, b = 7.0408 Å, c = 7.0852 Å, α = 90.00°, β = 90.00° and γ = 90.00°. Symmetry generates all atoms from Li at (0.0000, 0.5000, 0.0000), Er at (0.0000, 0.0000, 0.0000) and Sn at (0.2500, 0.2500, 0.2500).

The energy relative to the elements comes out at -7.338 kcal/mol of atoms. The value obtained for the density of states at the Fermi level is 0.715 states/eV per atom.

***

# 22
Below is crystalline Li6ErSn6 at its relaxed geometry, with properties calculated at the PBE level.

It has space group P6/mmm (No. 191), with a = 5.7880 Å, b = 5.7880 Å, c = 9.3058 Å, α = 90.00°, β = 90.00° and γ = 120.00°. Symmetry generates all atoms from Li at (0.0000, 0.5000, 0.2461), Er at (0.0000, 0.0000, 0.0000), Sn at (0.0000, 0.0000, 0.3458), Sn at (0.3333, 0.6667, 0.0000) and Sn at (0.3333, 0.6667, 0.5000).

The energy relative to the elements comes out at -8.185 kcal/mol of atoms. The value obtained for the distance to the lowest polymorph of the same formula is 0.008 eV per atom. The value obtained for the density of states at the Fermi level is 0.322 states/eV per atom.

***

# 23
Below is crystalline LiErSn4 at its relaxed geometry, with properties calculated at the PBE level.

It has space group C2/m (No. 12), with a = 5.6262 Å, b = 5.6251 Å, c = 9.4514 Å, α = 90.00°, β = 90.03° and γ = 90.00°. Symmetry generates all atoms from Li at (0.0000, 0.0000, 0.0000), Er at (0.0000, 0.5000, 0.5000), Sn at (0.0013, 0.0000, 0.6784) and Sn at (0.0022, 0.5000, 0.8419).

The energy relative to the elements comes out at -5.991 kcal/mol of atoms. The value obtained for the density of states at the Fermi level is 0.778 states/eV per atom.